1.
# TbB4Os PBE optimized geometry
data_TbB4Os
_chemical_formula_sum 'Tb4 B16 Os4'
_cell_length_a 5.985
_cell_length_b 11.575
_cell_length_c 3.578
_cell_angle_alpha 90.00
_cell_angle_beta 90.00
_cell_angle_gamma 90.00
_symmetry_space_group_name_H-M 'P b a m'
_symmetry_Int_Tables_number 55
_symmetry_space_group_name_Hall '-P 2 2ab'
loop_
_atom_site_label
_atom_site_fract_x
_atom_site_fract_y
_atom_site_fract_z
_atom_site_occupancy
Tb1 0.128 0.150 0.000 1
B1 0.025 0.691 0.500 1
B2 0.112 0.546 0.500 1
B3 0.137 0.970 0.500 1
B4 0.212 0.814 0.500 1
Os1 0.141 0.407 0.000 1
# **Formation energy**: -0.574 eV/atom
# **DFT total energy**: -7.67 eV/atom
# **Magnetic moment**: 0.0 μB per formula unit


2.
# TbB2Os PBE optimized geometry
data_TbB2Os
_chemical_formula_sum 'Tb3 B6 Os3'
_cell_length_a 3.6728
_cell_length_b 3.6728
_cell_length_c 14.1531
_cell_angle_alpha 90.00
_cell_angle_beta 90.00
_cell_angle_gamma 120.00
_symmetry_space_group_name_H-M 'R -3 m'
_symmetry_Int_Tables_number 166
_symmetry_space_group_name_Hall '-R 3 2"'
loop_
_atom_site_label
_atom_site_fract_x
_atom_site_fract_y
_atom_site_fract_z
_atom_site_occupancy
Tb1 0.0000 0.0000 0.0000 1
B1 0.0000 0.0000 0.2066 1
Os1 0.0000 0.0000 0.5000 1
# **Formation energy**: -0.253 eV/atom
# **Energy relative to the lowest polymorph listed for this composition**: 302 meV per atom
# **DFT total energy**: -7.56 eV/atom
# **Magnetic moment**: 0.0 μB per formula unit